Entry from Alexandria via LeMat-Bulk: a relaxed Ca12TlAg6 crystal (GGA-PBE).

The structure belongs to space group Im-3 (No. 204); the cell edges are 10.553, 10.553 and 10.553 Å and the angles 90.00°, 90.00° and 90.00°. The asymmetric unit holds Ca at (0.000, 0.290, 0.182), Tl at (0.000, 0.000, 0.000) and Ag at (0.000, 0.131, 0.500).

Its formation enthalpy at 0 K is -240 meV per atom. The calculation puts the density at 3.8 g cm⁻³.